Entry 1:
This record from Alexandria describes crystalline RuBr3Cl at its relaxed geometry. The functional is PBE.

Calculated values
* ΔE to the lowest computed polymorph: 93 kJ/mol of formula units

```
data_RuBr3Cl
_chemical_formula_sum 'Ru2 Br6 Cl2'
_space_group_name_H-M_alt 'P -1'
_space_group_IT_number 2
_cell_length_a 4.8772
_cell_length_b 5.9991
_cell_length_c 12.0375
_cell_angle_alpha 89.94
_cell_angle_beta 89.96
_cell_angle_gamma 89.97
loop_
_space_group_symop_operation_xyz
'x,y,z'
'-x,-y,-z'
loop_
_atom_site_label
_atom_site_type_symbol
_atom_site_fract_x
_atom_site_fract_y
_atom_site_fract_z
Ru1 Ru 0.2495 0.1937 0.2496
Br1 Br 0.2500 0.2546 0.0521
Br2 Br 0.2497 0.2547 0.4471
Br3 Br 0.2505 0.6908 0.7504
Cl1 Cl 0.2492 0.8222 0.2497
```

Entry 2:
This record from Alexandria describes crystalline RuBrCl2 at its relaxed geometry. The functional is PBE.

Calculated values
* ΔE to the lowest computed polymorph: 458 kJ/mol of formula units

```
data_RuBrCl2
_chemical_formula_sum 'Ru2 Br2 Cl4'
_space_group_name_H-M_alt 'C 1 2/m 1'
_space_group_IT_number 12
_cell_length_a 6.5417
_cell_length_b 7.6496
_cell_length_c 4.9919
_cell_angle_alpha 90.00
_cell_angle_beta 130.21
_cell_angle_gamma 90.00
loop_
_space_group_symop_operation_xyz
'x,y,z'
'-x,-y,-z'
'-x,y,-z'
'x,-y,z'
'x+1/2,y+1/2,z'
'-x+1/2,-y+1/2,-z'
'-x+1/2,y+1/2,-z'
'x+1/2,-y+1/2,z'
loop_
_atom_site_label
_atom_site_type_symbol
_atom_site_fract_x
_atom_site_fract_y
_atom_site_fract_z
Ru1 Ru 0.0000 0.0000 0.0000
Br1 Br 0.0000 0.5000 0.0000
Cl1 Cl 0.2500 0.2500 0.5000
```

Entry 3:
This record from Alexandria describes crystalline RuBr2Cl5 at its relaxed geometry. The functional is PBE.

```
data_RuBr2Cl5
_chemical_formula_sum 'Ru2 Br4 Cl10'
_space_group_name_H-M_alt 'C 1 m 1'
_space_group_IT_number 8
_cell_length_a 5.2372
_cell_length_b 15.1163
_cell_length_c 7.9944
_cell_angle_alpha 90.00
_cell_angle_beta 108.99
_cell_angle_gamma 90.00
loop_
_space_group_symop_operation_xyz
'x,y,z'
'x,-y,z'
'x+1/2,y+1/2,z'
'x+1/2,-y+1/2,z'
loop_
_atom_site_label
_atom_site_type_symbol
_atom_site_fract_x
_atom_site_fract_y
_atom_site_fract_z
Ru1 Ru 0.0000 0.0000 0.0000
Br1 Br 0.0578 0.2500 0.5001
Cl1 Cl 0.0580 0.1495 0.0000
Cl2 Cl 0.0794 0.5000 0.0012
Cl3 Cl 0.2078 0.0000 0.2989
Cl4 Cl 0.4092 0.5000 0.7011
```

Respective ΔE_f (raw) values: -0.0875, 0.7352, -0.1793 eV per atom.